Density functional theory data (GGA-PBE) for a relaxed NbI4Cl crystal.

abc: 7.309 7.817 10.593
angles: 68.96 88.58 62.29
Element x y z (fractional)
Cl  0.869  0.553  0.680
Cl  0.131  0.447  0.320
I  0.500  0.388  0.846
I  0.052  0.188  0.042
I  0.948  0.812  0.958
I  0.703  0.978  0.254
I  0.253  0.819  0.433
I  0.747  0.181  0.567
I  0.297  0.022  0.746
I  0.500  0.612  0.154
Nb  0.112  0.771  0.226
Nb  0.888  0.229  0.774

Properties
total magnetization = 0.001 μB/atom
excess energy over the best structure of this formula in the dataset = 0.0 kJ/mol of formula units
electronic total energy = -3.592 eV per atom



Density functional theory data (GGA-PBE) for a relaxed NbI4Cl crystal.

abc: 7.344 7.905 10.315
angles: 110.92 90.64 116.50
Element x y z (fractional)
I  0.074  0.821  0.569
I  0.875  0.372  0.144
I  0.444  0.573  0.322
I  0.556  0.427  0.678
I  0.695  0.994  0.757
I  0.926  0.179  0.431
I  0.305  0.006  0.243
I  0.125  0.628  0.856
Nb  0.099  0.207  0.208
Nb  0.901  0.793  0.792
Cl  0.196  0.152  0.961
Cl  0.804  0.848  0.039

Properties
total magnetization = 0.001 μB/atom
excess energy over the best structure of this formula in the dataset = 3.1 kJ/mol of formula units
electronic total energy = -3.586 eV per atom



What did the second record say?
Density functional theory data (GGA-PBE) for a relaxed NbI4Cl crystal.

abc: 7.344 7.905 10.315
angles: 110.92 90.64 116.50
Element x y z (fractional)
I  0.074  0.821  0.569
I  0.875  0.372  0.144
I  0.444  0.573  0.322
I  0.556  0.427  0.678
I  0.695  0.994  0.757
I  0.926  0.179  0.431
I  0.305  0.006  0.243
I  0.125  0.628  0.856
Nb  0.099  0.207  0.208
Nb  0.901  0.793  0.792
Cl  0.196  0.152  0.961
Cl  0.804  0.848  0.039

Properties
total magnetization = 0.001 μB/atom
excess energy over the best structure of this formula in the dataset = 3.1 kJ/mol of formula units
electronic total energy = -3.586 eV per atom